No. 1
Material: Cs2Sn2O3
Method: DFT, PBE-GGA
State: relaxed

Properties
DFT total energy = -0.364 Ry/atom
raw formation energy = -1.438 eV per atom
ρ = 4.52 g cm⁻³
D(E_F) = 0.00 states/eV/f.u.

Cell: 6.2201 9.1995 14.1682 Å, 90.00 90.00 90.00°
Element x y z (fractional)
1 Sn 0.2500 0.3987 0.8030
2 Sn 0.7500 0.6013 0.1970
3 O 0.5027 0.7484 0.2296
4 Cs 0.2500 0.9535 0.8658
5 O 0.5027 0.7516 0.7296
6 Cs 0.7500 0.6539 0.9026
7 O 0.7500 0.5212 0.3355
8 O 0.9973 0.7516 0.7296
9 Sn 0.7500 0.2987 0.3617
10 Cs 0.2500 0.5465 0.3658
11 Sn 0.2500 0.7013 0.6383
12 Sn 0.2500 0.7987 0.1383
13 O 0.0027 0.2484 0.2704
14 O 0.4973 0.2516 0.7704
15 Cs 0.2500 0.3461 0.0974
16 O 0.4973 0.2484 0.2704
17 Cs 0.2500 0.1539 0.5974
18 Sn 0.7500 0.8987 0.6970
19 O 0.7500 0.9788 0.8355
20 Cs 0.7500 0.8461 0.4026
21 Cs 0.7500 0.4535 0.6342
22 Sn 0.2500 0.1013 0.3030
23 O 0.0027 0.2516 0.7704
24 O 0.9973 0.7484 0.2296
25 O 0.2500 0.4788 0.6645
26 Sn 0.7500 0.2013 0.8617
27 Cs 0.7500 0.0465 0.1342
28 O 0.2500 0.0212 0.1645



No. 2
Material: Cs3SnO4
Method: DFT, PBE-GGA
State: relaxed

Properties
DFT total energy = -0.336 Ry/atom
raw formation energy = -1.278 eV per atom
ρ = 4.19 g cm⁻³
D(E_F) = 10.58 states/eV/f.u.

Cell: 6.8139 6.8139 6.8139 Å, 94.00 116.63 118.82°
Element x y z (fractional)
1 O 0.1557 0.3194 0.4751
2 O 0.1557 0.6806 0.8363
3 O 0.6140 0.2627 0.3513
4 Cs 0.0561 0.0000 0.0561
5 Sn 0.0067 0.5000 0.5067
6 Cs 0.5371 0.7651 0.3022
7 O 0.0887 0.7373 0.3513
8 Cs 0.5371 0.2349 0.7720